Entry from Alexandria: a relaxed structure of LaAg3Ru (GGA-PBEsol).

abc: 4.9280 4.9280 4.9280
angles: 90.00 90.00 90.00
Closest atoms and distances in Å follow each position.
Fractional positions:
Ru 0.0000 0.0000 0.0000  6 Ag 2.46
Ag 0.0000 0.5000 0.0000  2 Ru 2.46
Ag 0.0000 0.0000 0.5000  2 Ru 2.46
Ag 0.5000 0.0000 0.0000  2 Ru 2.46
La 0.5000 0.5000 0.5000  12 Ag 3.48

## Properties
Energy of formation from the pure elements in eV per atom: 0.658
Crystal system: cubic
Density in g/cm3: 7.8
Total moment in μB/f.u.: 0.00

***

Entry from Alexandria: a relaxed structure of PRuCl3 (GGA-PBEsol).

abc: 4.6866 4.6866 4.6866
angles: 90.00 90.00 90.00
Closest atoms and distances in Å follow each position.
Fractional positions:
Ru 0.0000 0.0000 0.0000  6 Cl 2.34
P 0.5000 0.5000 0.5000  12 Cl 3.31
Cl 0.0000 0.5000 0.0000  2 Ru 2.34
Cl 0.0000 0.0000 0.5000  2 Ru 2.34
Cl 0.5000 0.0000 0.0000  2 Ru 2.34

## Properties
Uncorrected formation energy in eV per formula unit: 2.467
Distance to the lowest polymorph of the same formula in eV per atom: 0.000
Crystal system: cubic
Density in g/cm3: 3.8
Total moment in μB/f.u.: 0.72

***

Entry from Alexandria: a relaxed structure of BRhCl2 (GGA-PBEsol).

abc: 3.0349 3.0349 7.3817
angles: 78.14 78.14 60.00
Closest atoms and distances in Å follow each position.
Fractional positions:
B 0.5000 0.5000 0.5000  6 Cl 2.22
Rh 0.0000 0.0000 0.0000  2 Cl 2.23
Cl 0.8965 0.8965 0.3105  3 B 2.22, 1 Rh 2.23
Cl 0.1035 0.1035 0.6895  3 B 2.22, 1 Rh 2.23

## Properties
Uncorrected formation energy in eV per formula unit: 3.321
Crystal system: trigonal
Density in g/cm3: 5.4
Total moment in μB/f.u.: 0.00

***

Entry from Alexandria: a relaxed structure of CaRh2Au (GGA-PBEsol).

abc: 4.0551 4.0596 4.9373
angles: 114.28 114.25 90.00
Closest atoms and distances in Å follow each position.
Fractional positions:
Au 0.5000 0.5000 0.9999  8 Rh 2.85-2.87, 4 Ca 2.86
Ca 0.2501 0.7501 0.5002  8 Rh 2.85-2.87, 4 Au 2.86
Rh 0.0001 0.0001 0.0002  4 Rh 2.85-2.86, 4 Ca 2.85-2.86, 4 Au 2.87
Rh 0.7499 0.2499 0.4998  4 Rh 2.85-2.86, 4 Au 2.85-2.86, 4 Ca 2.87

## Properties
Energy of formation from the pure elements in eV per atom: -0.070
Crystal system: tetragonal
Density in g/cm3: 11.1
Total moment in μB/f.u.: 0.93

***

Entry from Alexandria: a relaxed structure of Ta2Si2Ru (GGA-PBEsol).

abc: 4.0528 6.0394 6.0394
angles: 90.00 90.00 90.00
Closest atoms and distances in Å follow each position.
Fractional positions:
Ru 0.0000 0.0000 0.0000  4 Si 2.34
Ru 0.0000 0.5000 0.5000  4 Si 2.34
Si 0.0000 0.3616 0.8616  2 Ru 2.34, 1 Si 2.36
Si 0.0000 0.8616 0.6384  2 Ru 2.34, 1 Si 2.36
Si 0.0000 0.6384 0.1384  2 Ru 2.34, 1 Si 2.36
Si 0.0000 0.1384 0.3616  2 Ru 2.34, 1 Si 2.36
Ta 0.5000 0.1605 0.6605  6 Si 2.66-2.72, 1 Ta 2.74
Ta 0.5000 0.6605 0.8395  6 Si 2.66-2.72, 1 Ta 2.74
Ta 0.5000 0.8395 0.3395  6 Si 2.66-2.72, 1 Ta 2.74
Ta 0.5000 0.3395 0.1605  6 Si 2.66-2.72, 1 Ta 2.74

## Properties
Uncorrected formation energy in eV per formula unit: -3.077
Crystal system: tetragonal
Density in g/cm3: 11.7
Total moment in μB/f.u.: 0.00

***

Entry from Alexandria: a relaxed structure of Gd2GeMoO8 (GGA-PBEsol).

abc: 5.1211 5.1211 6.6240
angles: 112.74 112.74 90.00
Closest atoms and distances in Å follow each position.
Fractional positions:
Gd 0.2500 0.7500 0.5000  8 O 2.37-2.38
Gd 0.5000 0.5000 0.0000  8 O 2.35-2.40
Ge 0.7500 0.2500 0.5000  4 O 1.79
Mo 0.0000 0.0000 0.0000  4 O 1.78
O 0.5957 0.5036 0.6745  1 Ge 1.79
O 0.0788 0.1709 0.6745  1 Ge 1.79
O 0.9274 0.8273 0.1647  1 Mo 1.78
O 0.2373 0.3373 0.1647  1 Mo 1.78
O 0.1727 0.7627 0.8353  1 Mo 1.78
O 0.6627 0.0726 0.8353  1 Mo 1.78
O 0.8291 0.4043 0.3255  1 Ge 1.79
O 0.4964 0.9212 0.3255  1 Ge 1.79

## Properties
Uncorrected formation energy in eV per formula unit: -32.069
Crystal system: tetragonal
Density in g/cm3: 7.0
Total moment in μB/f.u.: 13.93

***

Entry from Alexandria: a relaxed structure of SrZrPt2 (GGA-PBEsol).

abc: 3.3928 3.3928 7.3605
angles: 90.00 90.00 90.00
Closest atoms and distances in Å follow each position.
Fractional positions:
Sr 0.5000 0.5000 0.0000  8 Pt 3.29, 4 Sr 3.39
Zr 0.5000 0.5000 0.5000  8 Pt 2.80
Pt 0.0000 0.0000 0.6951  4 Zr 2.80, 1 Pt 2.87
Pt 0.0000 0.0000 0.3049  4 Zr 2.80, 1 Pt 2.87

## Properties
Energy of formation from the pure elements in eV per atom: -0.874
Distance to the lowest polymorph of the same formula in eV per atom: 0.000
Crystal system: tetragonal
Density in g/cm3: 11.2
Total moment in μB/f.u.: 0.00

***

Entry from Alexandria: a relaxed structure of Ba2ZnCd2 (GGA-PBEsol).

abc: 6.1613 6.1613 6.1613
angles: 99.60 114.62 114.62
Closest atoms and distances in Å follow each position.
Fractional positions:
Zn 0.0000 0.0000 0.0000  2 Cd 2.65
Ba 0.5000 0.7500 0.2500  4 Cd 3.39
Ba 0.5000 0.2500 0.7500  4 Cd 3.39
Cd 0.0000 0.6666 0.6666  1 Cd 2.65, 1 Zn 2.65
Cd 0.0000 0.3334 0.3334  1 Cd 2.65, 1 Zn 2.65

## Properties
Energy of formation from the pure elements in eV per atom: 0.001
Crystal system: tetragonal
Density in g/cm3: 5.3
Total moment in μB/f.u.: 0.00

***

Entry from Alexandria: a relaxed structure of CoSeBr (GGA-PBEsol).

abc: 2.9739 2.9739 6.6209
angles: 102.98 102.98 90.00
Closest atoms and distances in Å follow each position.
Fractional positions:
Co 0.6865 0.6865 0.3729  4 Se 2.42
Se 0.2813 0.2813 0.5625  4 Co 2.42
Br 0.0323 0.0323 0.0645  4 Co 2.86, 4 Br 2.97, 1 Se 3.13

## Properties
Uncorrected formation energy in eV per formula unit: 0.491
Crystal system: tetragonal
Density in g/cm3: 6.5
Total moment in μB/f.u.: 0.00

***

Entry from Alexandria: a relaxed structure of Be3BiN (GGA-PBEsol).

abc: 4.5509 4.5509 4.5509
angles: 90.00 90.00 90.00
Closest atoms and distances in Å follow each position.
Fractional positions:
Be 0.0000 0.5000 0.0000  2 Bi 2.28
Be 0.0000 0.0000 0.5000  2 Bi 2.28
Be 0.5000 0.0000 0.0000  2 Bi 2.28
Bi 0.0000 0.0000 0.0000  6 Be 2.28
N 0.5000 0.5000 0.5000  12 Be 3.22

## Properties
Uncorrected formation energy in eV per formula unit: 11.720
Crystal system: cubic
Density in g/cm3: 4.4
Total moment in μB/f.u.: 0.07

***

Entry from Alexandria: a relaxed structure of Rb2ScInGe (GGA-PBEsol).

abc: 5.1522 6.6406 6.6406
angles: 90.00 90.00 90.00
Closest atoms and distances in Å follow each position.
Fractional positions:
Sc 0.5000 0.0000 0.0000  2 Ge 2.58
Ge 0.0000 0.0000 0.0000  2 Sc 2.58
Rb 0.0000 0.0000 0.5000  2 Ge 3.32
Rb 0.0000 0.5000 0.0000  2 Ge 3.32
In 0.5000 0.5000 0.5000  8 Rb 4.20, 4 Sc 4.70

## Properties
Energy of formation from the pure elements in eV per atom: 0.424
Crystal system: tetragonal
Density in g/cm3: 2.9
Total moment in μB/f.u.: 1.47

***

Entry from Alexandria: a relaxed structure of TcSeI2N (GGA-PBEsol).

abc: 3.6366 5.8234 5.8234
angles: 90.00 90.00 90.00
Closest atoms and distances in Å follow each position.
Fractional positions:
I 0.0000 0.0000 0.5000  2 Se 2.91
I 0.0000 0.5000 0.0000  2 Se 2.91
Tc 0.5000 0.5000 0.5000  8 I 3.43, 2 Tc 3.64
Se 0.0000 0.0000 0.0000  2 N 1.82
N 0.5000 0.0000 0.0000  2 Se 1.82

## Properties
Uncorrected formation energy in eV per formula unit: 7.212
Crystal system: tetragonal
Density in g/cm3: 6.0
Total moment in μB/f.u.: 4.31

***

What is the formula in the twelfth record? TcSeI2N

***

Repeat the second record exactly.
Entry from Alexandria: a relaxed structure of PRuCl3 (GGA-PBEsol).

abc: 4.6866 4.6866 4.6866
angles: 90.00 90.00 90.00
Closest atoms and distances in Å follow each position.
Fractional positions:
Ru 0.0000 0.0000 0.0000  6 Cl 2.34
P 0.5000 0.5000 0.5000  12 Cl 3.31
Cl 0.0000 0.5000 0.0000  2 Ru 2.34
Cl 0.0000 0.0000 0.5000  2 Ru 2.34
Cl 0.5000 0.0000 0.0000  2 Ru 2.34

## Properties
Uncorrected formation energy in eV per formula unit: 2.467
Distance to the lowest polymorph of the same formula in eV per atom: 0.000
Crystal system: cubic
Density in g/cm3: 3.8
Total moment in μB/f.u.: 0.72

***

The lowest density belongs to which entry? Rb2ScInGe